(1)
Compound: TlAgSbBr6
Source: Alexandria
Functional: PBE
Structure: relaxed

E_form (uncorrected)	-0.519	eV/atom
Fermi-level density of states	13.68	states/eV/cell

Cell and atoms, written as POSCAR:
```
TlAgSbBr6
1.0
7.244 0.000 0.000
-3.622 6.273 0.000
0.000 0.000 13.869
Tl Ag Sb Br
2 2 2 12
Cartesian
0.000 0.000 0.000
0.000 0.000 6.934
0.000 4.182 3.467
3.622 2.091 10.402
0.000 4.182 10.402
3.622 2.091 3.467
-1.259 2.248 8.815
-2.305 4.059 11.988
1.259 2.248 11.988
-1.046 6.239 8.815
2.576 0.034 1.880
1.317 2.214 5.054
2.305 4.059 8.815
1.046 6.239 11.988
4.668 0.034 5.054
2.363 4.025 1.880
5.926 2.214 1.880
4.881 4.025 5.054
```


(2)
Compound: LaPb2Br
Source: Alexandria
Functional: PBE
Structure: relaxed

distance to the lowest polymorph of the same formula	0.111	eV/atom
E_form (uncorrected)	-0.685	eV/atom
Fermi-level density of states	1.03	states/eV/cell

Cell and atoms, written as POSCAR:
```
LaPb2Br
1.0
-1.972 2.380 6.757
1.972 -2.380 6.757
1.972 2.380 -6.757
La Pb Br
1 2 1
Cartesian
0.000 0.000 0.000
1.972 0.000 2.922
0.000 2.380 3.835
0.000 0.000 6.757
```


(3)
Compound: RbEuHgPb
Source: Alexandria
Functional: PBE
Structure: relaxed

Fermi-level density of states	14.66	states/eV/cell
energy	-16.104	eV per cell

Cell and atoms, written as POSCAR:
```
RbEuHgPb
1.0
0.000 4.136 4.136
4.136 0.000 4.136
4.136 4.136 0.000
Rb Eu Hg Pb
1 1 1 1
Cartesian
0.000 0.000 0.000
4.136 4.136 4.136
6.205 6.205 6.205
2.068 2.068 2.068
```